Compound: Nd2SmF11
Source: Alexandria
Functional: PBE
Structure: relaxed

Computed properties:
- DOS at the Fermi energy: 51.40 states/eV per cell
- Formation energy (no corrections): -3.40 eV/atom

Cell lengths 8.729, 10.521, 11.576 Å; angles 90.00, 90.00, 90.00 degrees
Space group Ibam (No. 72)
Symmetry-distinct sites (fractional):
Nd: 0.162 0.190 0.000 [8 per cell]
Sm: 0.000 0.500 0.250 [4 per cell]
F: 0.000 0.000 0.000 [4 per cell]
F: 0.102 0.330 0.146 [16 per cell]
F: 0.107 0.189 0.500 [8 per cell]
F: 0.199 0.426 0.367 [16 per cell]